[1]
Na2PtPb3: optimized geometry, PBE-GGA.

Structure (CIF):
```
data_Na2PtPb3
_chemical_formula_sum 'Na4 Pt2 Pb6'
_space_group_name_H-M_alt 'I m m m'
_space_group_IT_number 71
_space_group_name_Hall '-I 2 2'
_cell_length_a 3.5805
_cell_length_b 5.8689
_cell_length_c 16.8831
_cell_angle_alpha 90.00
_cell_angle_beta 90.00
_cell_angle_gamma 90.00
loop_
_atom_site_label
_atom_site_fract_x
_atom_site_fract_y
_atom_site_fract_z
Na1 0.0000 0.0000 0.2032
Pt1 0.0000 0.0000 0.5000
Pb1 0.0000 0.5000 0.1241
Pb2 0.0000 0.5000 0.5000
```

[2]
NaPt3Pb3: optimized geometry, PBE-GGA.

Structure (CIF):
```
data_NaPt3Pb3
_chemical_formula_sum 'Na2 Pt6 Pb6'
_space_group_name_H-M_alt 'P m -3 n'
_space_group_IT_number 223
_space_group_name_Hall '-P 4n 2 3'
_cell_length_a 7.6230
_cell_length_b 7.6230
_cell_length_c 7.6230
_cell_angle_alpha 90.00
_cell_angle_beta 90.00
_cell_angle_gamma 90.00
loop_
_atom_site_label
_atom_site_fract_x
_atom_site_fract_y
_atom_site_fract_z
Na1 0.0000 0.0000 0.0000
Pt1 0.0000 0.2500 0.5000
Pb1 0.0000 0.5000 0.2500
```

[3]
NaPt2Pb2: optimized geometry, PBE-GGA.

Structure (CIF):
```
data_NaPt2Pb2
_chemical_formula_sum 'Na2 Pt4 Pb4'
_space_group_name_H-M_alt 'I 4/m m m'
_space_group_IT_number 139
_space_group_name_Hall '-I 4 2'
_cell_length_a 4.0343
_cell_length_b 4.0343
_cell_length_c 15.2139
_cell_angle_alpha 90.00
_cell_angle_beta 90.00
_cell_angle_gamma 90.00
loop_
_atom_site_label
_atom_site_fract_x
_atom_site_fract_y
_atom_site_fract_z
Na1 0.0000 0.0000 0.0000
Pt1 0.0000 0.5000 0.2500
Pb1 0.0000 0.0000 0.3780
```

Number 1: spin magnetization 0.00 μB per cell, energy relative to the elements -0.071 eV/atom. Number 2: spin magnetization 0.00 μB per cell, energy relative to the elements 0.058 eV/atom. Number 3: spin magnetization 0.00 μB per cell, energy relative to the elements -0.164 eV/atom.